(1)
# PBE Hf2GaOs, relaxed
data_Hf2GaOs
_chemical_formula_sum 'Hf2 Ga1 Os1'
_symmetry_space_group_name_H-M 'P 4/m m m'
_symmetry_Int_Tables_number 123
_symmetry_space_group_name_Hall '-P 4 2'
_cell_length_a 3.257
_cell_length_b 3.257
_cell_length_c 6.776
_cell_angle_alpha 90.00
_cell_angle_beta 90.00
_cell_angle_gamma 90.00
loop_
_atom_site_label
_atom_site_type_symbol
_atom_site_fract_x
_atom_site_fract_y
_atom_site_fract_z
_atom_site_occupancy
Hf1 Hf 0.000 0.000 0.238 1
Ga1 Ga 0.500 0.500 0.500 1
Os1 Os 0.500 0.500 0.000 1
# - Total energy: -36.008 eV for the cell shown
# - Formation energy from the elements: -461 meV/atom

(2)
# PBE Hf2Ga2Os, relaxed
data_Hf2Ga2Os
_chemical_formula_sum 'Hf8 Ga8 Os4'
_symmetry_space_group_name_H-M 'P 4/m n c'
_symmetry_Int_Tables_number 128
_symmetry_space_group_name_Hall '-P 4 2n'
_cell_length_a 6.682
_cell_length_b 6.682
_cell_length_c 7.746
_cell_angle_alpha 90.00
_cell_angle_beta 90.00
_cell_angle_gamma 90.00
loop_
_atom_site_label
_atom_site_type_symbol
_atom_site_fract_x
_atom_site_fract_y
_atom_site_fract_z
_atom_site_occupancy
Hf1 Hf 0.173 0.326 0.000 1
Ga1 Ga 0.132 0.632 0.250 1
Os1 Os 0.000 0.000 0.214 1
# - Energy above the lowest structure with this stoichiometry: 0.00 eV per formula unit
# - Total energy: -158.839 eV for the cell shown
# - Formation energy from the elements: -504 meV/atom

(3)
# PBE Hf4GaOs, relaxed
data_Hf4GaOs
_chemical_formula_sum 'Hf4 Ga1 Os1'
_symmetry_space_group_name_H-M 'P 1 2/m 1'
_symmetry_Int_Tables_number 10
_symmetry_space_group_name_Hall '-P 2y'
_cell_length_a 5.470
_cell_length_b 3.246
_cell_length_c 6.772
_cell_angle_alpha 90.00
_cell_angle_beta 90.07
_cell_angle_gamma 90.00
loop_
_atom_site_label
_atom_site_type_symbol
_atom_site_fract_x
_atom_site_fract_y
_atom_site_fract_z
_atom_site_occupancy
Hf1 Hf 0.167 0.000 0.314 1
Hf2 Hf 0.324 0.500 0.686 1
Ga1 Ga 0.500 0.000 0.000 1
Os1 Os 0.000 0.500 0.000 1
# - Total energy: -54.561 eV for the cell shown
# - Formation energy from the elements: -82 meV/atom

(4)
# PBE Hf2GaOs, relaxed
data_Hf2GaOs
_chemical_formula_sum 'Hf8 Ga4 Os4'
_symmetry_space_group_name_H-M 'I -4 2 d'
_symmetry_Int_Tables_number 122
_symmetry_space_group_name_Hall 'I -4 2bw'
_cell_length_a 7.503
_cell_length_b 7.503
_cell_length_c 5.697
_cell_angle_alpha 90.00
_cell_angle_beta 90.00
_cell_angle_gamma 90.00
loop_
_atom_site_label
_atom_site_type_symbol
_atom_site_fract_x
_atom_site_fract_y
_atom_site_fract_z
_atom_site_occupancy
Hf1 Hf 0.214 0.250 0.125 1
Ga1 Ga 0.000 0.000 0.500 1
Os1 Os 0.000 0.000 0.000 1
# - Total energy: -133.945 eV for the cell shown
# - Formation energy from the elements: 169 meV/atom